A relaxed Na2Hg4Au3 crystal, computed with PBE.

a b c (Å): 5.8191 9.1347 8.5353
angles (deg): 90.00 109.93 90.00
With the nearest neighbours (Å) after each atom.
Sites, in units of the cell vectors:
Na 0.1060 0.5952 0.2121  4 Au 3.14-3.48, 4 Hg 3.25-3.32
Na 0.8940 0.4048 0.7879  4 Au 3.14-3.48, 4 Hg 3.25-3.32
Na 0.3940 0.0952 0.7879  4 Au 3.14-3.48, 4 Hg 3.25-3.32
Na 0.6060 0.9048 0.2121  4 Au 3.14-3.48, 4 Hg 3.25-3.32
Hg 0.6926 0.7500 0.8852  3 Au 2.86-3.00, 2 Hg 2.91
Hg 0.8074 0.2500 0.1148  3 Au 2.86-3.00, 2 Hg 2.91
Hg 0.3074 0.2500 0.1148  3 Au 2.86-3.00, 2 Hg 2.91
Hg 0.1926 0.7500 0.8852  3 Au 2.86-3.00, 2 Hg 2.91
Hg 0.1827 0.9906 0.3654  5 Au 2.88-2.95
Hg 0.8173 0.0094 0.6346  5 Au 2.88-2.95
Hg 0.3173 0.4906 0.6346  5 Au 2.88-2.95
Hg 0.6827 0.5094 0.3654  5 Au 2.88-2.95
Au 0.0000 0.0000 0.0000  6 Hg 2.86-2.93
Au 0.5000 0.5000 0.0000  6 Hg 2.86-2.93
Au 0.5057 0.7500 0.5115  5 Hg 2.88-3.00, 2 Au 2.91, 2 Na 3.14
Au 0.9943 0.2500 0.4885  5 Hg 2.88-3.00, 2 Au 2.91, 2 Na 3.14
Au 0.4943 0.2500 0.4885  5 Hg 2.88-3.00, 2 Au 2.91, 2 Na 3.14
Au 0.0057 0.7500 0.5115  5 Hg 2.88-3.00, 2 Au 2.91, 2 Na 3.14

Summary:
The value obtained for the spin magnetization is 0.000 μB/cell. Its formation energy from the elements is -0.169 eV per atom.